Record 1
Tb3Er2TmSe6 | PBE | relaxed

Spin magnetization, μB per atom: 0.00
Final energy, Ry per atom: -0.423
Formation energy without anion corrections, eV per atom: -1.73

a b c (Å): 4.0460 8.1681 9.0942
angles (deg): 103.60 102.85 90.00
Fractional coordinates of all 12 atoms:
Tb (0.5000, 0.5000, 0.0000)
Tb (0.8328, 0.1669, 0.6655)
Tb (0.1672, 0.8331, 0.3345)
Er (0.8329, 0.6662, 0.6659)
Er (0.1671, 0.3338, 0.3341)
Tm (0.5000, 0.0000, 0.0000)
Se (0.3354, 0.9140, 0.6708)
Se (0.6677, 0.5799, 0.3355)
Se (0.6646, 0.0860, 0.3292)
Se (0.0012, 0.2452, 0.0023)
Se (0.9988, 0.7548, 0.9977)
Se (0.3323, 0.4201, 0.6645)

---

Record 2
TbEr2Tm3Se6 | PBE | relaxed

Spin magnetization, μB per atom: 0.00
Final energy, Ry per atom: -0.419
Formation energy without anion corrections, eV per atom: -1.69

a b c (Å): 4.0220 8.1091 9.0309
angles (deg): 103.47 102.87 90.00
Fractional coordinates of all 12 atoms:
Tb (0.5000, 0.0000, 0.0000)
Er (0.8345, 0.6690, 0.6691)
Er (0.1655, 0.3310, 0.3309)
Tm (0.5000, 0.5000, 0.0000)
Tm (0.8350, 0.1664, 0.6700)
Tm (0.1650, 0.8336, 0.3300)
Se (0.3308, 0.9170, 0.6615)
Se (0.6668, 0.5844, 0.3336)
Se (0.6692, 0.0830, 0.3385)
Se (0.9998, 0.2554, 0.9996)
Se (0.0002, 0.7446, 0.0004)
Se (0.3332, 0.4156, 0.6664)

---

Record 3
TbEr3Tm3Se8 | PBE | relaxed

Spin magnetization, μB per atom: 0.00
Final energy, Ry per atom: -0.423
Formation energy without anion corrections, eV per atom: -1.79

a b c (Å): 8.0329 8.0331 8.0338
angles (deg): 120.00 90.00 120.00
Fractional coordinates of all 15 atoms:
Tb (0.0000, 0.0000, 0.5000)
Er (0.0000, 0.0000, 0.0000)
Er (0.0000, 0.5000, 0.0000)
Er (0.5000, 0.5000, 0.0000)
Tm (0.5000, 0.0000, 0.5000)
Tm (0.5000, 0.5000, 0.5000)
Tm (0.0000, 0.5000, 0.5000)
Se (0.2506, 0.5012, 0.2518)
Se (0.7494, 0.4988, 0.7482)
Se (0.7434, 0.4869, 0.2447)
Se (0.2566, 0.5131, 0.7553)
Se (0.7435, 0.0012, 0.2447)
Se (0.2565, 0.9988, 0.7553)
Se (0.2578, 0.0012, 0.2447)
Se (0.7422, 0.9988, 0.7553)

---

Record 4
Tb2ErTmSe6 | PBE | relaxed

Spin magnetization, μB per atom: 0.00
Final energy, Ry per atom: -0.424
Formation energy without anion corrections, eV per atom: -1.85

a b c (Å): 7.1815 7.1815 7.6779
angles (deg): 62.11 62.11 60.00
Fractional coordinates of all 10 atoms:
Tb (0.5155, 0.5154, 0.4537)
Tb (0.0151, 0.0151, 0.9548)
Er (0.8191, 0.8192, 0.5425)
Tm (0.3196, 0.3196, 0.0411)
Se (0.6053, 0.2164, 0.2536)
Se (0.2164, 0.9246, 0.2536)
Se (0.9247, 0.6053, 0.2537)
Se (0.4228, 0.7160, 0.7540)
Se (0.7160, 0.1072, 0.7540)
Se (0.1072, 0.4229, 0.7541)

---

> The lowest formation energy without anion corrections belongs to which entry?

Tb2ErTmSe6

---

> Which of these has the lowest formation energy without anion corrections?

Tb2ErTmSe6

---

What did the second record say?
TbEr2Tm3Se6 | PBE | relaxed

Spin magnetization, μB per atom: 0.00
Final energy, Ry per atom: -0.419
Formation energy without anion corrections, eV per atom: -1.69

a b c (Å): 4.0220 8.1091 9.0309
angles (deg): 103.47 102.87 90.00
Fractional coordinates of all 12 atoms:
Tb (0.5000, 0.0000, 0.0000)
Er (0.8345, 0.6690, 0.6691)
Er (0.1655, 0.3310, 0.3309)
Tm (0.5000, 0.5000, 0.0000)
Tm (0.8350, 0.1664, 0.6700)
Tm (0.1650, 0.8336, 0.3300)
Se (0.3308, 0.9170, 0.6615)
Se (0.6668, 0.5844, 0.3336)
Se (0.6692, 0.0830, 0.3385)
Se (0.9998, 0.2554, 0.9996)
Se (0.0002, 0.7446, 0.0004)
Se (0.3332, 0.4156, 0.6664)